VASP calculation (PBE) on an optimized crystal structure of SrFe2Hg.

## Properties
Symmetry: R-3m
Formation energy from the elements (eV per atom): 0.906
Raw total energy (eV/atom): -3.822
Magnetization (μB per formula unit): 5.32
Volume (Å³/cell): 83.47

Structure (POSCAR):
```
SrFe2Hg
1.0
9.6428 -0.0082 -0.0048
9.1175 3.1393 -0.0048
9.1175 1.5217 2.7458
Fe Sr Hg
2 1 1
Cartesian
14.1471 2.3611 1.3885
27.6697 4.6180 2.7157
20.9084 3.4896 2.0521
6.9695 1.1632 0.6840
```


VASP calculation (PBE) on an optimized crystal structure of K3AcTe2O9.

## Properties
Symmetry: P-3m1
ΔE_f (raw) (eV/atom): -1.653
Raw total energy (eV/atom): -5.540
Magnetization (μB per formula unit): 0.00
Volume (Å³/cell): 233.57

Structure (POSCAR):
```
K3AcTe2O9
1.0
-0.8327 -5.8665 -0.6620
1.2309 2.2475 5.3834
-7.4169 0.9041 1.3184
K Ac O Te
3 1 9 2
Cartesian
-2.4321 -2.8830 1.7597
0.0000 0.0000 0.0000
-4.5866 0.1681 4.2801
-3.7084 0.4520 0.6592
-0.4164 -2.9332 -0.3310
0.1991 -1.8095 2.3607
0.6155 1.1238 2.6917
-1.7213 -1.6453 4.3821
-1.3378 1.0562 4.6869
-5.6809 -3.7711 1.3530
-5.1140 -2.7362 3.8320
-5.2974 -1.0696 1.6578
-1.9047 0.0212 2.2078
-0.6288 -0.3143 3.5766
-6.3899 -2.4006 2.4633
```


VASP calculation (PBE) on an optimized crystal structure of AgIO3.

## Properties
Symmetry: Pnma
ΔE_f (raw) (eV/atom): -0.257
Raw total energy (eV/atom): -4.112
Magnetization (μB per formula unit): 0.00
Volume (Å³/cell): 329.60

Structure (POSCAR):
```
AgIO3
1.0
6.0471 0.0000 0.0000
0.0000 6.5688 0.0000
0.0000 0.0000 8.2977
Ag O I
4 12 4
Cartesian
0.0000 3.2844 4.1489
3.0235 0.0000 4.1489
3.0235 0.0000 0.0000
0.0000 3.2844 0.0000
0.7906 1.1206 0.6850
3.8141 2.1637 7.6127
2.2330 4.4050 0.6850
5.2565 5.4481 4.8339
5.2565 5.4481 7.6127
0.7906 1.1206 3.4638
4.7010 4.0291 2.0744
2.2330 4.4050 3.4638
3.8141 2.1637 4.8339
1.3461 2.5396 6.2233
1.6775 5.8240 6.2233
4.3696 0.7447 2.0744
2.9710 3.4297 2.0744
5.9946 6.4234 6.2233
0.0525 0.1454 2.0744
3.0760 3.1390 6.2233
```


VASP calculation (PBE) on an optimized crystal structure of Li2Ta2Sb.

## Properties
Symmetry: I4/mmm
ΔE_f (raw) (eV/atom): 0.589
Raw total energy (eV/atom): -5.742
Magnetization (μB per formula unit): 0.00
Volume (Å³/cell): 99.14

Structure (POSCAR):
```
Li2Ta2Sb
1.0
-2.8921 1.7228 1.4372
0.4356 -1.8690 3.1169
3.2212 5.2515 4.8480
Ta Li Sb
2 2 1
Cartesian
-0.4619 0.8439 2.7198
1.2266 4.2614 6.6823
1.2143 1.6547 5.1210
-0.4496 3.4506 4.2811
0.0000 0.0000 0.0000
```


VASP calculation (PBE) on an optimized crystal structure of HfTi2Zn2Rh2.

## Properties
Symmetry: C2/m
Formation energy from the elements (eV per atom): -0.418
Raw total energy (eV/atom): -6.560
Magnetization (μB per formula unit): 0.00
Volume (Å³/cell): 113.70

Structure (POSCAR):
```
HfTi2Zn2Rh2
1.0
-3.5440 0.6735 1.9922
0.6811 -4.2415 -1.6166
3.4999 0.3010 6.1242
Rh Hf Zn Ti
2 1 2 2
Cartesian
-1.5258 -1.1044 1.9212
2.1629 -2.1627 4.5787
0.0000 0.0000 0.0000
-0.5938 -2.3893 4.0135
1.2309 -0.8778 2.4864
0.0510 -2.9648 1.0931
0.5860 -0.3022 5.4068
```


VASP calculation (PBE) on an optimized crystal structure of TeP2.

## Properties
Symmetry: I4/mmm
ΔE_f (raw) (eV/atom): 0.214
Raw total energy (eV/atom): -4.440
Magnetization (μB per formula unit): 0.00
Volume (Å³/cell): 65.54

Structure (POSCAR):
```
TeP2
1.0
-1.6463 1.6463 6.0454
1.6463 -1.6463 6.0454
1.6463 1.6463 -6.0454
P Te
2 1
Cartesian
0.0000 0.0000 2.7838
0.0000 0.0000 9.3070
0.0000 0.0000 0.0000
```


VASP calculation (PBE) on an optimized crystal structure of CdSiTe2I.

## Properties
Symmetry: P4/mmm
ΔE_f (raw) (eV/atom): 0.296
Raw total energy (eV/atom): -2.538
Magnetization (μB per formula unit): 0.00
Volume (Å³/cell): 157.86

Structure (POSCAR):
```
CdSiTe2I
1.0
5.3489 0.0000 0.0000
0.0000 5.3489 0.0000
0.0000 0.0000 5.5175
Si I Te Cd
1 1 2 1
Cartesian
0.0000 0.0000 0.0000
0.0000 0.0000 2.7587
0.0000 2.6744 0.0000
2.6744 0.0000 0.0000
2.6744 2.6744 2.7587
```


VASP calculation (PBE) on an optimized crystal structure of Dy5Cu2Pb.

## Properties
Symmetry: I4/mcm
Formation energy from the elements (eV per atom): -0.279
Raw total energy (eV/atom): -4.643
Magnetization (μB per formula unit): 0.00
Volume (Å³/cell): 411.60

Structure (POSCAR):
```
Dy5Cu2Pb
1.0
7.1664 0.0000 -3.3829
-1.5969 6.9862 -3.3829
-0.3183 -0.3993 8.6078
Dy Pb Cu
10 2 4
Cartesian
0.0000 0.0000 0.0000
4.0423 6.7708 -3.6044
2.9150 1.9563 -0.2215
1.2089 -0.1839 5.4464
2.3361 4.6307 2.0634
6.1962 3.2777 -2.5528
2.7848 3.4931 -3.3829
4.4901 1.1375 3.1151
-0.9450 3.3093 4.3948
0.7611 5.4494 -1.2731
4.0180 5.0400 -0.7705
1.2332 1.5469 2.6124
1.2644 6.0807 -4.1974
4.3051 0.9055 -2.5684
5.2321 4.3986 -5.0744
0.3374 2.5876 -1.6915
```


Repeat the eighth record exactly.
VASP calculation (PBE) on an optimized crystal structure of Dy5Cu2Pb.

## Properties
Symmetry: I4/mcm
Formation energy from the elements (eV per atom): -0.279
Raw total energy (eV/atom): -4.643
Magnetization (μB per formula unit): 0.00
Volume (Å³/cell): 411.60

Structure (POSCAR):
```
Dy5Cu2Pb
1.0
7.1664 0.0000 -3.3829
-1.5969 6.9862 -3.3829
-0.3183 -0.3993 8.6078
Dy Pb Cu
10 2 4
Cartesian
0.0000 0.0000 0.0000
4.0423 6.7708 -3.6044
2.9150 1.9563 -0.2215
1.2089 -0.1839 5.4464
2.3361 4.6307 2.0634
6.1962 3.2777 -2.5528
2.7848 3.4931 -3.3829
4.4901 1.1375 3.1151
-0.9450 3.3093 4.3948
0.7611 5.4494 -1.2731
4.0180 5.0400 -0.7705
1.2332 1.5469 2.6124
1.2644 6.0807 -4.1974
4.3051 0.9055 -2.5684
5.2321 4.3986 -5.0744
0.3374 2.5876 -1.6915
```


What is the magnetization in the seventh record?
0.00 μB per formula unit


What is the formula in the fifth record?
HfTi2Zn2Rh2


Look up the volume of the first one.
83.47 Å³/cell